# Si2NiAs

A geometry-optimized Si2NiAs structure (GGA-PBEsol, Alexandria via LeMat-Bulk).

a = 4.519 Å, b = 4.519 Å, c = 4.519 Å
α = 128.17°, β = 128.17°, γ = 76.35°
Atoms (fractional coordinates):
Si (0.250, 0.750, 0.500)
Si (0.750, 0.250, 0.500)
Ni (0.000, 0.000, 0.000)
As (0.500, 0.500, 0.000)

Computed properties:
SG ... No. 139



# Si2NiAs

A geometry-optimized Si2NiAs structure (GGA-PBEsol, Alexandria via LeMat-Bulk).

a = 4.318 Å, b = 4.318 Å, c = 3.140 Å
α = 90.00°, β = 90.00°, γ = 107.54°
Atoms (fractional coordinates):
Si (0.000, 0.500, 0.000)
Si (0.500, 0.000, 0.000)
Ni (0.000, 0.000, 0.500)
As (0.500, 0.500, 0.500)

Computed properties:
SG ... No. 65



# Si2NiAs

A geometry-optimized Si2NiAs structure (GGA-PBEsol, Alexandria via LeMat-Bulk).

a = 3.532 Å, b = 3.532 Å, c = 4.540 Å
α = 90.00°, β = 90.00°, γ = 90.00°
Atoms (fractional coordinates):
Si (0.000, 0.500, 0.000)
Si (0.500, 0.000, 0.000)
Ni (0.000, 0.000, 0.500)
As (0.500, 0.500, 0.500)

Computed properties:
SG ... No. 123



# Si2NiAs

A geometry-optimized Si2NiAs structure (GGA-PBEsol, Alexandria via LeMat-Bulk).

a = 4.295 Å, b = 4.295 Å, c = 4.295 Å
α = 60.00°, β = 60.00°, γ = 60.00°
Atoms (fractional coordinates):
Si (0.000, 0.000, 0.000)
Si (0.250, 0.250, 0.250)
Ni (0.750, 0.750, 0.750)
As (0.500, 0.500, 0.500)

Computed properties:
SG ... No. 216



Number 1: E -0.1994 hartree per atom. Number 2: E -0.2004 hartree per atom. Number 3: E -0.1994 hartree per atom. Number 4: E -0.1985 hartree per atom.